# MgPd3S | the Alexandria database | PBEsol | optimized geometry
# V: 87.76 Å³ per cell
# Formation energy from raw total energies: -0.36 eV per atom
data_MgPd3S
_chemical_formula_sum 'Mg1 Pd3 S1'
_cell_length_a 4.4440
_cell_length_b 4.4440
_cell_length_c 4.4440
_cell_angle_alpha 90.00
_cell_angle_beta 90.00
_cell_angle_gamma 90.00
_space_group_name_H-M_alt 'P m -3 m'
_space_group_IT_number 221
_space_group_name_Hall '-P 4 2 3'
loop_
_atom_site_label
_atom_site_type_symbol
_atom_site_fract_x
_atom_site_fract_y
_atom_site_fract_z
_atom_site_occupancy
Mg1 Mg 0.0000 0.0000 0.0000 1
Pd1 Pd 0.0000 0.5000 0.5000 1
S1 S 0.5000 0.5000 0.5000 1

---

# MgSbPd2 | the Alexandria database | PBEsol | optimized geometry
# V: 269.10 Å³ per cell
# Formation energy from raw total energies: -0.62 eV per atom
data_MgSbPd2
_chemical_formula_sum 'Mg4 Sb4 Pd8'
_cell_length_a 6.4562
_cell_length_b 6.4562
_cell_length_c 6.4562
_cell_angle_alpha 90.00
_cell_angle_beta 90.00
_cell_angle_gamma 90.00
_space_group_name_H-M_alt 'F m -3 m'
_space_group_IT_number 225
_space_group_name_Hall '-F 4 2 3'
loop_
_atom_site_label
_atom_site_type_symbol
_atom_site_fract_x
_atom_site_fract_y
_atom_site_fract_z
_atom_site_occupancy
Mg1 Mg 0.0000 0.0000 0.0000 1
Sb1 Sb 0.0000 0.0000 0.5000 1
Pd1 Pd 0.2500 0.2500 0.2500 1

---

# MgSbPd | the Alexandria database | PBEsol | optimized geometry
# V: 246.40 Å³ per cell
# Formation energy from raw total energies: -0.63 eV per atom
data_MgSbPd
_chemical_formula_sum 'Mg4 Sb4 Pd4'
_cell_length_a 6.2692
_cell_length_b 6.2692
_cell_length_c 6.2692
_cell_angle_alpha 90.00
_cell_angle_beta 90.00
_cell_angle_gamma 90.00
_space_group_name_H-M_alt 'F -4 3 m'
_space_group_IT_number 216
_space_group_name_Hall 'F -4 2 3'
loop_
_atom_site_label
_atom_site_type_symbol
_atom_site_fract_x
_atom_site_fract_y
_atom_site_fract_z
_atom_site_occupancy
Mg1 Mg 0.0000 0.0000 0.0000 1
Sb1 Sb 0.0000 0.0000 0.5000 1
Pd1 Pd 0.2500 0.2500 0.7500 1

---

# MgPdSe3 | the Alexandria database | PBEsol | optimized geometry
# V: 116.69 Å³ per cell
# Formation energy from raw total energies: 0.04 eV per atom
data_MgPdSe3
_chemical_formula_sum 'Mg1 Pd1 Se3'
_cell_length_a 4.8867
_cell_length_b 4.8867
_cell_length_c 4.8867
_cell_angle_alpha 90.00
_cell_angle_beta 90.00
_cell_angle_gamma 90.00
_space_group_name_H-M_alt 'P m -3 m'
_space_group_IT_number 221
_space_group_name_Hall '-P 4 2 3'
loop_
_atom_site_label
_atom_site_type_symbol
_atom_site_fract_x
_atom_site_fract_y
_atom_site_fract_z
_atom_site_occupancy
Mg1 Mg 0.0000 0.0000 0.0000 1
Pd1 Pd 0.5000 0.5000 0.5000 1
Se1 Se 0.0000 0.5000 0.5000 1